Record 1
VASP calculation (SCAN) on KSr2S at its PBEsol-relaxed geometry.

Spin magnetization, μB per cell: 0.003
Raw formation energy, eV/atom: -0.859
Electronic total energy, eV/atom: -16.49

a b c (Å): 10.346 10.346 6.581
angles (deg): 90.00 90.00 90.00
Space group I-42d (No. 122)
Inequivalent atoms, fractional coordinates:
K (0.000, 0.000, 0.000) [4 per cell]
Sr (0.107, 0.250, 0.625) [8 per cell]
S (0.000, 0.000, 0.500) [4 per cell]

***

Record 2
VASP calculation (SCAN) on K3TaS4 at its PBEsol-relaxed geometry.

Spin magnetization, μB per cell: 0.000
Raw formation energy, eV/atom: -1.472
Electronic total energy, eV/atom: -17.73

a b c (Å): 9.200 10.573 9.373
angles (deg): 90.00 90.00 90.00
Space group Pnma (No. 62)
Inequivalent atoms, fractional coordinates:
K (0.058, 0.045, 0.211) [8 per cell]
K (0.134, 0.750, 0.422) [4 per cell]
Ta (0.215, 0.750, 0.988) [4 per cell]
S (0.010, 0.250, 0.912) [4 per cell]
S (0.164, 0.073, 0.553) [8 per cell]
S (0.191, 0.750, 0.747) [4 per cell]

***

Record 3
VASP calculation (SCAN) on KTcS3 at its PBEsol-relaxed geometry.

Spin magnetization, μB per cell: 0.000
Raw formation energy, eV/atom: -0.426
Electronic total energy, eV/atom: -14.88

a b c (Å): 4.670 4.670 4.670
angles (deg): 90.00 90.00 90.00
Space group Pm-3m (No. 221)
Inequivalent atoms, fractional coordinates:
K (0.000, 0.000, 0.000) [1 per cell]
Tc (0.500, 0.500, 0.500) [1 per cell]
S (0.000, 0.500, 0.500) [3 per cell]